Entry 1:
Density functional theory data (PBE-GGA) for an optimized crystal structure of La8Tc2Bi.

The space-group type is C2/m. As for the energy of formation from the pure elements: -1.7 eV per formula unit. As for the density of states at the Fermi level: 1.196 states/eV/atom.

```
data_La8Tc2Bi
_chemical_formula_sum 'La8 Tc2 Bi1'
_cell_length_a 8.756
_cell_length_b 8.756
_cell_length_c 6.774
_cell_angle_alpha 99.21
_cell_angle_beta 99.21
_cell_angle_gamma 46.31
_symmetry_space_group_name_H-M 'P 1'
_symmetry_Int_Tables_number 1
_symmetry_space_group_name_Hall 'P 1'
loop_
_atom_site_label
_atom_site_fract_x
_atom_site_fract_y
_atom_site_fract_z
La1 0.070 0.070 0.325
La2 0.122 0.607 0.121
La3 0.300 0.300 0.609
La4 0.393 0.878 0.879
La5 0.607 0.122 0.121
La6 0.700 0.700 0.391
La7 0.878 0.393 0.879
La8 0.930 0.930 0.675
Tc1 0.215 0.215 0.224
Tc2 0.785 0.785 0.776
Bi1 0.500 0.500 0.500
```

=====

Entry 2:
Density functional theory data (PBE-GGA) for an optimized crystal structure of KTlHgI2.

The space-group type is P4/mmm. As for the formation energy without anion corrections: -657 meV per atom. As for the density of states at the Fermi level: 0.031 states/eV/atom.

```
data_KTlHgI2
_chemical_formula_sum 'K1 Tl1 Hg1 I2'
_cell_length_a 6.622
_cell_length_b 6.622
_cell_length_c 5.867
_cell_angle_alpha 90.00
_cell_angle_beta 90.00
_cell_angle_gamma 90.00
_symmetry_space_group_name_H-M 'P 1'
_symmetry_Int_Tables_number 1
_symmetry_space_group_name_Hall 'P 1'
loop_
_atom_site_label
_atom_site_fract_x
_atom_site_fract_y
_atom_site_fract_z
K1 0.000 0.000 0.000
Tl1 0.500 0.500 0.500
Hg1 0.500 0.500 0.000
I1 0.000 0.500 0.500
I2 0.500 0.000 0.500
```

=====

Entry 3:
Density functional theory data (PBE-GGA) for an optimized crystal structure of NdHg2Cl8.

The space-group type is C2/m. As for the formation energy without anion corrections: -1008 meV per atom. As for the density of states at the Fermi level: 0.274 states/eV/atom.

```
data_NdHg2Cl8
_chemical_formula_sum 'Nd1 Hg2 Cl8'
_cell_length_a 7.994
_cell_length_b 7.994
_cell_length_c 7.158
_cell_angle_alpha 99.27
_cell_angle_beta 99.27
_cell_angle_gamma 52.28
_symmetry_space_group_name_H-M 'P 1'
_symmetry_Int_Tables_number 1
_symmetry_space_group_name_Hall 'P 1'
loop_
_atom_site_label
_atom_site_fract_x
_atom_site_fract_y
_atom_site_fract_z
Nd1 0.000 0.000 0.000
Hg1 0.217 0.217 0.738
Hg2 0.783 0.783 0.262
Cl1 0.125 0.125 0.337
Cl2 0.140 0.628 0.148
Cl3 0.370 0.370 0.656
Cl4 0.372 0.860 0.852
Cl5 0.628 0.140 0.148
Cl6 0.630 0.630 0.344
Cl7 0.860 0.372 0.852
Cl8 0.875 0.875 0.663
```

=====

Entry 4:
Density functional theory data (PBE-GGA) for an optimized crystal structure of BaAcGaS4.

The space-group type is P2_1/m. As for the formation energy without anion corrections: -1682 meV per atom. As for the density of states at the Fermi level: 0.000 states/eV/atom.

```
data_BaAcGaS4
_chemical_formula_sum 'Ba2 Ac2 Ga2 S8'
_cell_length_a 6.841
_cell_length_b 6.788
_cell_length_c 8.689
_cell_angle_alpha 90.00
_cell_angle_beta 107.68
_cell_angle_gamma 90.00
_symmetry_space_group_name_H-M 'P 1'
_symmetry_Int_Tables_number 1
_symmetry_space_group_name_Hall 'P 1'
loop_
_atom_site_label
_atom_site_fract_x
_atom_site_fract_y
_atom_site_fract_z
Ba1 0.232 0.250 0.432
Ba2 0.768 0.750 0.568
Ac1 0.271 0.250 0.945
Ac2 0.729 0.750 0.055
Ga1 0.276 0.750 0.192
Ga2 0.724 0.250 0.808
S1 0.080 0.750 0.362
S2 0.089 0.750 0.923
S3 0.499 0.507 0.760
S4 0.499 0.993 0.760
S5 0.501 0.007 0.240
S6 0.501 0.493 0.240
S7 0.911 0.250 0.077
S8 0.920 0.250 0.638
```

=====

Entry 5:
Density functional theory data (PBE-GGA) for an optimized crystal structure of Th2Zn3Cu2.

The space-group type is C2/m. As for the energy of formation from the pure elements: -1.2 eV per formula unit. As for the density of states at the Fermi level: 0.751 states/eV/atom.

```
data_Th2Zn3Cu2
_chemical_formula_sum 'Th2 Zn3 Cu2'
_cell_length_a 5.603
_cell_length_b 5.603
_cell_length_c 6.394
_cell_angle_alpha 109.04
_cell_angle_beta 109.04
_cell_angle_gamma 46.69
_symmetry_space_group_name_H-M 'P 1'
_symmetry_Int_Tables_number 1
_symmetry_space_group_name_Hall 'P 1'
loop_
_atom_site_label
_atom_site_fract_x
_atom_site_fract_y
_atom_site_fract_z
Th1 0.120 0.120 0.350
Th2 0.880 0.880 0.650
Zn1 0.222 0.222 0.877
Zn2 0.500 0.500 0.000
Zn3 0.778 0.778 0.123
Cu1 0.401 0.401 0.306
Cu2 0.599 0.599 0.694
```

=====

Entry 6:
Density functional theory data (PBE-GGA) for an optimized crystal structure of CsBaIO2.

The space-group type is P4/mmm. As for the formation energy without anion corrections: -1123 meV per atom. As for the density of states at the Fermi level: 0.316 states/eV/atom.

```
data_CsBaIO2
_chemical_formula_sum 'Cs1 Ba1 I1 O2'
_cell_length_a 5.173
_cell_length_b 5.173
_cell_length_c 7.157
_cell_angle_alpha 90.00
_cell_angle_beta 90.00
_cell_angle_gamma 90.00
_symmetry_space_group_name_H-M 'P 1'
_symmetry_Int_Tables_number 1
_symmetry_space_group_name_Hall 'P 1'
loop_
_atom_site_label
_atom_site_fract_x
_atom_site_fract_y
_atom_site_fract_z
Cs1 0.000 0.000 0.000
Ba1 0.500 0.500 0.500
I1 0.500 0.500 0.000
O1 0.000 0.500 0.500
O2 0.500 0.000 0.500
```

=====

Entry 7:
Density functional theory data (PBE-GGA) for an optimized crystal structure of Tc5Rh.

The space-group type is P6/mmm. As for the energy of formation from the pure elements: 3.2 eV per formula unit. As for the density of states at the Fermi level: 0.725 states/eV/atom.

```
data_Tc5Rh
_chemical_formula_sum 'Tc5 Rh1'
_cell_length_a 5.007
_cell_length_b 5.007
_cell_length_c 4.446
_cell_angle_alpha 90.00
_cell_angle_beta 90.00
_cell_angle_gamma 120.00
_symmetry_space_group_name_H-M 'P 1'
_symmetry_Int_Tables_number 1
_symmetry_space_group_name_Hall 'P 1'
loop_
_atom_site_label
_atom_site_fract_x
_atom_site_fract_y
_atom_site_fract_z
Tc1 0.000 0.500 0.000
Tc2 0.333 0.667 0.500
Tc3 0.500 0.000 0.000
Tc4 0.500 0.500 0.000
Tc5 0.667 0.333 0.500
Rh1 0.000 0.000 0.500
```

=====

Entry 8:
Density functional theory data (PBE-GGA) for an optimized crystal structure of Sr2RuSe.

The space-group type is Imm2. As for the formation energy without anion corrections: -411 meV per atom.

```
data_Sr2RuSe
_chemical_formula_sum 'Sr2 Ru1 Se1'
_cell_length_a 6.948
_cell_length_b 6.948
_cell_length_c 6.948
_cell_angle_alpha 149.09
_cell_angle_beta 139.83
_cell_angle_gamma 51.53
_symmetry_space_group_name_H-M 'P 1'
_symmetry_Int_Tables_number 1
_symmetry_space_group_name_Hall 'P 1'
loop_
_atom_site_label
_atom_site_fract_x
_atom_site_fract_y
_atom_site_fract_z
Sr1 0.000 0.000 0.000
Sr2 0.733 0.233 0.500
Ru1 0.274 0.774 0.500
Se1 0.408 0.408 0.000
```

=====

Results for size of the total moment: 0.00; 0.00; 0.95; 0.00; 0.00; 2.00; 0.00; 0.00 (in μB/f.u., following the order of the records).
Results for V: 33.618; 51.464; 32.357; 27.461; 19.503; 38.309; 16.084; 27.638 (in Å³ per atom, following the order of the records).